Here is an optimized crystal structure of Li3NiPb from the Alexandria database. Energies are from PBE-GGA.

Cell: 4.5479 4.5479 4.5479 Å, 90.00 90.00 90.00°
With the nearest neighbours (Å) after each atom.
Space group Pm-3m (No. 221)
Unique sites:
Li 0.0000 0.0000 0.5000 x3  2 Ni 2.27
Ni 0.0000 0.0000 0.0000 x1  6 Li 2.27
Pb 0.5000 0.5000 0.5000 x1  12 Li 3.22

Results
As for the density of states at the Fermi level: 0.38 states/eV per atom. The calculation puts the energy of formation from the pure elements at 0.17 eV/atom.

Here is an optimized crystal structure of Ca4Ag2PdPb from the Alexandria database. Energies are from PBE-GGA.

Cell: 5.2498 5.2498 25.7051 Å, 90.00 90.00 120.00°
With the nearest neighbours (Å) after each atom.
Space group R-3m (No. 166, hexagonal axes)
Unique sites:
Ca 0.0000 0.0000 0.1180 x6  1 Pd 3.03, 4 Ag 3.14-3.34, 3 Pb 3.28
Ca 0.0000 0.0000 0.3701 x6  4 Ag 3.14-3.28, 3 Pd 3.18, 1 Pb 3.34
Ag 0.0000 0.0000 0.2478 x6  8 Ca 3.14-3.34
Pd 0.0000 0.0000 0.0000 x3  8 Ca 3.03-3.18
Pb 0.0000 0.0000 0.5000 x3  8 Ca 3.28-3.34

Results
As for the density of states at the Fermi level: 0.34 states/eV per atom. The calculation puts the energy of formation from the pure elements at -0.48 eV/atom.

Here is an optimized crystal structure of Sr2InF from the Alexandria database. Energies are from PBE-GGA.

Cell: 7.6831 7.6831 8.5589 Å, 90.00 90.00 90.00°
With the nearest neighbours (Å) after each atom.
Space group I-42d (No. 122)
Unique sites:
Sr 0.1561 0.2500 0.1250 x8  2 F 2.50
In 0.0000 0.0000 0.5000 x4  4 Sr 3.44
F 0.0000 0.0000 0.0000 x4  4 Sr 2.50

Results
As for the raw formation energy: -1.51 eV per atom. As for the density of states at the Fermi level: 0.31 states/eV per atom.

Here is an optimized crystal structure of SrNdEr4Se8 from the Alexandria database. Energies are from PBE-GGA.

Cell: 8.4801 8.4801 21.1235 Å, 90.00 90.00 120.00°
With the nearest neighbours (Å) after each atom.
Space group R3m (No. 160, hexagonal axes)
Unique sites:
Sr 0.0000 0.0000 0.0000 x3  4 Se 2.89-2.90
Nd 0.0000 0.0000 0.3708 x3  6 Se 2.93-3.04
Er 0.0000 0.0000 0.7470 x3  4 Se 2.74-2.79
Er 0.0046 0.5023 0.8734 x9  6 Se 2.80-2.94
Se 0.0000 0.0000 0.1375 x3  3 Er 2.82, 1 Sr 2.90
Se 0.0000 0.0000 0.6148 x3  4 Er 2.79-2.94
Se 0.0129 0.5065 0.1283 x9  3 Er 2.74-2.93, 1 Nd 3.04
Se 0.1818 0.3636 0.9476 x9  2 Er 2.80, 1 Sr 2.89, 1 Nd 2.93

Results
As for the raw formation energy: -1.78 eV per atom. As for the density of states at the Fermi level: 0.28 states/eV per atom.

Here is an optimized crystal structure of OsPd3O from the Alexandria database. Energies are from PBE-GGA.

Cell: 4.7820 4.7820 4.7820 Å, 90.00 90.00 90.00°
With the nearest neighbours (Å) after each atom.
Space group Pm-3m (No. 221)
Unique sites:
Os 0.0000 0.0000 0.0000 x1  6 Pd 2.39
Pd 0.0000 0.0000 0.5000 x3  2 Os 2.39
O 0.5000 0.5000 0.5000 x1  12 Pd 3.38

Results
As for the raw formation energy: 1.75 eV per atom. As for the density of states at the Fermi level: 1.67 states/eV per atom.

Here is an optimized crystal structure of Pa2Bi5 from the Alexandria database. Energies are from PBE-GGA.

Cell: 4.5033 42.9100 4.5008 Å, 90.00 90.00 90.00°
With the nearest neighbours (Å) after each atom.
Space group Cmcm (No. 63)
Unique sites:
Pa 0.0000 0.0998 0.2500 x4  9 Bi 3.24-3.42
Pa 0.0000 0.3087 0.2500 x4  9 Bi 3.25-3.38
Bi 0.0000 0.0398 0.7500 x4  4 Bi 3.19, 2 Pa 3.42
Bi 0.0000 0.1753 0.2500 x4  5 Pa 3.24-3.26
Bi 0.0000 0.2500 0.7500 x4  4 Bi 3.18, 4 Pa 3.38
Bi 0.0000 0.3845 0.2500 x4  5 Pa 3.25
Bi 0.0000 0.4571 0.7500 x4  4 Bi 3.19, 2 Pa 3.32

Results
As for the density of states at the Fermi level: 0.85 states/eV per atom. The calculation puts the energy of formation from the pure elements at -0.14 eV/atom.